The following is a DFT calculation (PBE) of Ce2SmZn8 after structural relaxation.

Summary:
DFT formation energy in eV/atom: -0.25

Cell: 4.8741 6.1689 14.6104 Å, 90.00 90.00 90.00°
Last column: nearest neighbours and their distance in Å.
Space group Immm (No. 71)
One atom of each set of equivalent atoms:
Ce1 0.0000 0.0000 0.1930  12 Zn 2.90-3.17
Sm1 0.0000 0.5000 0.0000  2 Zn 2.91
Zn1 0.0000 0.2216 0.3808  5 Zn 2.73-3.03
Zn2 0.0000 0.5000 0.1994  4 Ce 2.90-3.09, 1 Sm 2.91, 6 Zn 3.03-3.16
Zn3 0.2476 0.5000 0.5000  2 Zn 2.41-2.46